A plane-wave DFT calculation with GGA-PBE was carried out for a relaxed HoAlCd crystal.

Energy relative to the elements, eV per atom: -0.2678
Electronic total energy, eV per atom: -3.346

a b c (Å): 4.872 3.773 7.943
angles (deg): 90.00 107.86 90.00
Sites, in units of the cell vectors:
Ho  0.909  0.250  0.818
Ho  0.091  0.750  0.182
Al  0.565  0.250  0.130
Al  0.435  0.750  0.870
Cd  0.274  0.250  0.549
Cd  0.726  0.750  0.451